# 1
Density functional theory data (PBE-GGA) for a relaxed structure of CdHg3Pb.

Lattice parameters (Å, degrees): 3.6326 10.8656 13.4806 90.00 90.00 90.00
Fractional coordinates of all 20 atoms:
Cd  0.2500  0.1238  0.6366
Cd  0.2500  0.6238  0.8634
Cd  0.7500  0.3762  0.1366
Cd  0.7500  0.8762  0.3634
Hg  0.2500  0.6110  0.0792
Hg  0.7500  0.3890  0.9208
Hg  0.2500  0.1110  0.4208
Hg  0.7500  0.8890  0.5792
Hg  0.2500  0.3811  0.7308
Hg  0.7500  0.1189  0.2308
Hg  0.2500  0.8811  0.7692
Hg  0.7500  0.6260  0.6800
Hg  0.2500  0.3740  0.3200
Hg  0.7500  0.1260  0.8200
Hg  0.7500  0.6189  0.2692
Hg  0.2500  0.8740  0.1800
Pb  0.7500  0.8648  0.9712
Pb  0.2500  0.6352  0.4712
Pb  0.7500  0.3648  0.5288
Pb  0.2500  0.1352  0.0288

## Properties
Formation energy from the elements, kJ/mol of formula units: 17.9
Total moment, Bohr magnetons per cell: 0.0
Calculated density, g/cm3: 11.50
Density of states at the Fermi level, states/eV/f.u.: 1.71
Space-group type: Pnma
Raw total energy, eV/atom: -1.07
Distance to the lowest polymorph of the same formula, kJ per mole of atoms: 0.0

=====

# 2
Density functional theory data (PBE-GGA) for a relaxed structure of Ac4Ge2O.

Lattice parameters (Å, degrees): 7.2433 7.4586 8.9670 90.00 108.04 90.00
Fractional coordinates of all 14 atoms:
Ac  0.4925  0.5014  0.2545
Ac  0.0729  0.7500  0.9077
Ac  0.9271  0.2500  0.0923
Ac  0.4925  0.9986  0.2545
Ac  0.9438  0.2500  0.6257
Ac  0.5075  0.0014  0.7455
Ac  0.5075  0.4986  0.7455
Ac  0.0562  0.7500  0.3743
Ge  0.7159  0.7500  0.0512
Ge  0.2841  0.2500  0.9488
Ge  0.2662  0.2500  0.4396
Ge  0.7338  0.7500  0.5604
O  0.2609  0.7500  0.1908
O  0.7391  0.2500  0.8092

## Properties
E_form (uncorrected), eV per atom: -1.183
Total moment, Bohr magnetons per cell: 1.3
Calculated density, g/cm3: 7.71
Density of states at the Fermi level, states/eV/f.u.: 4.87
Space-group type: P2_1/m
Raw total energy, eV/atom: -5.56
Distance to the lowest polymorph of the same formula, kJ per mole of atoms: 0.0

=====

# 3
Density functional theory data (PBE-GGA) for a relaxed structure of BaTbNd2.

Lattice parameters (Å, degrees): 3.7701 3.7701 10.9419 90.00 90.00 90.00
Fractional coordinates of all 4 atoms:
Nd  0.0000  0.0000  0.7823
Nd  0.0000  0.0000  0.2177
Tb  0.5000  0.5000  0.0000
Ba  0.5000  0.5000  0.5000

## Properties
Formation energy from the elements, kJ/mol of formula units: 43.0
Total moment, Bohr magnetons per cell: 0.0
Calculated density, g/cm3: 6.24
Density of states at the Fermi level, states/eV/f.u.: 5.47
Space-group type: P4/mmm
Raw total energy, eV/atom: -3.91
Distance to the lowest polymorph of the same formula, kJ per mole of atoms: 0.0

=====

# 4
Density functional theory data (PBE-GGA) for a relaxed structure of CeMn2Ga2P.

Lattice parameters (Å, degrees): 4.2236 4.2236 5.6053 90.00 90.00 90.00
Fractional coordinates of all 6 atoms:
Ce  0.0000  0.0000  0.5000
Mn  0.5000  0.0000  0.0000
Mn  0.0000  0.5000  0.0000
Ga  0.5000  0.5000  0.7318
Ga  0.5000  0.5000  0.2682
P  0.0000  0.0000  0.0000

## Properties
Formation energy from the elements, kJ/mol of formula units: -247.3
Total moment, Bohr magnetons per cell: 0.3
Calculated density, g/cm3: 6.98
Density of states at the Fermi level, states/eV/f.u.: 6.84
Space-group type: P4/mmm
Raw total energy, eV/atom: -6.38